# 1
# GGA-PBE Cd2SnSe2, relaxed
data_Cd2SnSe2
_cell_length_a 8.3334
_cell_length_b 8.3334
_cell_length_c 3.9440
_cell_angle_alpha 90.00
_cell_angle_beta 90.00
_cell_angle_gamma 90.00
_symmetry_space_group_name_H-M 'P 4/m b m'
_symmetry_Int_Tables_number 127
_symmetry_space_group_name_Hall '-P 4 2ab'
loop_
_atom_site_label
_atom_site_fract_x
_atom_site_fract_y
_atom_site_fract_z
Cd1 0.1168 0.3832 0.0000
Sn1 0.0000 0.0000 0.5000
Se1 0.2235 0.7235 0.5000
# Total moment: 0.00 μB/cell
# Excess energy over the best structure of this formula in the dataset: 0.0000 eV per atom
# Fermi-level density of states: 0.443 states/eV per atom



# 2
# GGA-PBE TmNbGa, relaxed
data_TmNbGa
_cell_length_a 4.0345
_cell_length_b 4.0345
_cell_length_c 7.8631
_cell_angle_alpha 90.00
_cell_angle_beta 90.00
_cell_angle_gamma 90.00
_symmetry_space_group_name_H-M 'P 4/n m m'
_symmetry_Int_Tables_number 129
loop_
_symmetry_equiv_pos_as_xyz
'x,y,z'
'-x,-y,-z'
'-y+1/2,x,z'
'y+1/2,-x,-z'
'-x+1/2,-y+1/2,z'
'x+1/2,y+1/2,-z'
'y,-x+1/2,z'
'-y,x+1/2,-z'
'x+1/2,-y,-z'
'-x+1/2,y,z'
'-y,-x,-z'
'y,x,z'
'-x,y+1/2,-z'
'x,-y+1/2,z'
'y+1/2,x+1/2,-z'
'-y+1/2,-x+1/2,z'
loop_
_atom_site_label
_atom_site_fract_x
_atom_site_fract_y
_atom_site_fract_z
Tm1 0.2500 0.2500 0.1575
Nb1 0.2500 0.7500 0.5000
Ga1 0.2500 0.2500 0.7544
# ΔH_f (0 K): -0.4184 eV/atom
# Total moment: 0.00 μB/cell
# Fermi-level density of states: 0.500 states/eV per atom



# 3
# GGA-PBE Na8Tl3Cd2, relaxed
data_Na8Tl3Cd2
_cell_length_a 13.8975
_cell_length_b 8.9916
_cell_length_c 6.6574
_cell_angle_alpha 90.00
_cell_angle_beta 99.24
_cell_angle_gamma 90.00
_symmetry_space_group_name_H-M 'C 1 2/m 1'
_symmetry_Int_Tables_number 12
loop_
_symmetry_equiv_pos_as_xyz
'x,y,z'
'-x,-y,-z'
'-x,y,-z'
'x,-y,z'
'x+1/2,y+1/2,z'
'-x+1/2,-y+1/2,-z'
'-x+1/2,y+1/2,-z'
'x+1/2,-y+1/2,z'
loop_
_atom_site_label
_atom_site_fract_x
_atom_site_fract_y
_atom_site_fract_z
Na1 0.0974 0.0000 0.3817
Na2 0.1233 0.1909 0.9419
Na3 0.1916 0.5000 0.3150
Tl1 0.0000 0.3235 0.5000
Tl2 0.0000 0.5000 0.0000
Cd1 0.1930 0.5000 0.7888
# ΔH_f (0 K): -0.0296 eV/atom
# Total moment: 0.00 μB/cell
# Excess energy over the best structure of this formula in the dataset: 0.0180 eV per atom
# Fermi-level density of states: 0.383 states/eV per atom